(1)
VASP calculation (GGA-PBE) on a geometry-optimized KBiTe2Os structure.

For the density of states at the Fermi level, the calculation gives 0.98 states/eV/atom. Its raw formation energy is 0.304 eV/atom.

It has space group P4/mmm (No. 123), with a = 5.5644 Å, b = 5.5644 Å, c = 5.2146 Å, α = 90.00°, β = 90.00° and γ = 90.00°. The inequivalent atoms are K at (0.0000, 0.0000, 0.0000), Bi at (0.5000, 0.5000, 0.0000), Te at (0.0000, 0.5000, 0.5000) and Os at (0.5000, 0.5000, 0.5000).

=====

(2)
VASP calculation (GGA-PBE) on a geometry-optimized KBi2TeOs structure.

For the density of states at the Fermi level, the calculation gives 1.15 states/eV/atom. Its raw formation energy is 0.940 eV/atom.

It has space group P4/mmm (No. 123), with a = 6.0681 Å, b = 6.0681 Å, c = 4.8774 Å, α = 90.00°, β = 90.00° and γ = 90.00°. The inequivalent atoms are K at (0.0000, 0.0000, 0.0000), Bi at (0.0000, 0.5000, 0.5000), Te at (0.5000, 0.5000, 0.5000) and Os at (0.5000, 0.5000, 0.0000).

=====

(3)
VASP calculation (GGA-PBE) on a geometry-optimized KBi2P2 structure.

For the density of states at the Fermi level, the calculation gives 0.19 states/eV/atom. The value obtained for the energy above the most stable polymorph in this dataset is 0.000 eV/atom. The calculation puts the formation energy at -43 meV per atom.

It has space group I4/mmm (No. 139), with a = 5.3160 Å, b = 5.3160 Å, c = 10.8788 Å, α = 90.00°, β = 90.00° and γ = 90.00°. The inequivalent atoms are K at (0.0000, 0.0000, 0.0000), Bi at (0.0000, 0.0000, 0.3410) and P at (0.0000, 0.5000, 0.2500).

=====

(4)
VASP calculation (GGA-PBE) on a geometry-optimized KBi3P structure.

For the density of states at the Fermi level, the calculation gives 1.90 states/eV/atom. The value obtained for the energy above the most stable polymorph in this dataset is 1.406 eV/atom. The calculation puts the formation energy at 1609 meV per atom.

It has space group Pm-3m (No. 221), with a = 5.9810 Å, b = 5.9810 Å, c = 5.9810 Å, α = 90.00°, β = 90.00° and γ = 90.00°. The inequivalent atoms are K at (0.0000, 0.0000, 0.0000), Bi at (0.0000, 0.0000, 0.5000) and P at (0.5000, 0.5000, 0.5000).

=====

(5)
VASP calculation (GGA-PBE) on a geometry-optimized KBi2P2 structure.

For the density of states at the Fermi level, the calculation gives 0.46 states/eV/atom. The value obtained for the energy above the most stable polymorph in this dataset is 0.190 eV/atom. The calculation puts the formation energy at 148 meV per atom.

It has space group P4/mbm (No. 127), with a = 8.2474 Å, b = 8.2474 Å, c = 3.8969 Å, α = 90.00°, β = 90.00° and γ = 90.00°. The inequivalent atoms are K at (0.0000, 0.0000, 0.0000), Bi at (0.1404, 0.3596, 0.5000) and P at (0.1455, 0.6455, 0.0000).

=====

(6)
VASP calculation (GGA-PBE) on a geometry-optimized KBi2P structure.

For the density of states at the Fermi level, the calculation gives 0.62 states/eV/atom. The calculation puts the formation energy at 36 meV per atom.

It has space group I-42d (No. 122), with a = 9.0090 Å, b = 9.0090 Å, c = 6.4974 Å, α = 90.00°, β = 90.00° and γ = 90.00°. The inequivalent atoms are K at (0.0000, 0.0000, 0.0000), Bi at (0.1679, 0.2500, 0.6250) and P at (0.0000, 0.0000, 0.5000).

=====

(7)
VASP calculation (GGA-PBE) on a geometry-optimized KBiP3 structure.

For the density of states at the Fermi level, the calculation gives 1.04 states/eV/atom. The value obtained for the energy above the most stable polymorph in this dataset is 0.933 eV/atom. The calculation puts the formation energy at 1762 meV per atom.

It has space group Pm-3m (No. 221), with a = 5.1709 Å, b = 5.1709 Å, c = 5.1709 Å, α = 90.00°, β = 90.00° and γ = 90.00°. The inequivalent atoms are K at (0.0000, 0.0000, 0.0000), Bi at (0.5000, 0.5000, 0.5000) and P at (0.0000, 0.0000, 0.5000).

=====

(8)
VASP calculation (GGA-PBE) on a geometry-optimized K8Bi2P structure.

For the density of states at the Fermi level, the calculation gives 1.38 states/eV/atom. The calculation puts the formation energy at -277 meV per atom.

It has space group Imm2 (No. 44), with a = 5.7116 Å, b = 18.9130 Å, c = 8.7063 Å, α = 90.00°, β = 90.00° and γ = 90.00°. The inequivalent atoms are K at (0.0000, 0.0000, 0.0000), K at (0.0000, 0.0945, 0.6298), K at (0.0000, 0.2946, 0.9494), K at (0.0000, 0.3519, 0.4568), K at (0.0000, 0.5000, 0.8469), Bi at (0.0000, 0.1568, 0.2322) and P at (0.0000, 0.5000, 0.2319).

=====

(9)
VASP calculation (GGA-PBE) on a geometry-optimized K8BiP2 structure.

For the density of states at the Fermi level, the calculation gives 1.40 states/eV/atom. The calculation puts the formation energy at -223 meV per atom.

It has space group Immm (No. 71), with a = 5.4840 Å, b = 8.7977 Å, c = 16.8870 Å, α = 90.00°, β = 90.00° and γ = 90.00°. The inequivalent atoms are K at (0.0000, 0.0000, 0.1598), K at (0.0000, 0.2194, 0.3362), K at (0.0000, 0.3041, 0.0000), Bi at (0.0000, 0.5000, 0.5000) and P at (0.0000, 0.5000, 0.1848).

=====

(10)
VASP calculation (GGA-PBE) on a geometry-optimized KBiP3 structure.

For the density of states at the Fermi level, the calculation gives 1.57 states/eV/atom. The value obtained for the energy above the most stable polymorph in this dataset is 0.000 eV/atom. The calculation puts the formation energy at 829 meV per atom.

It has space group Pm-3m (No. 221), with a = 5.3855 Å, b = 5.3855 Å, c = 5.3855 Å, α = 90.00°, β = 90.00° and γ = 90.00°. The inequivalent atoms are K at (0.0000, 0.0000, 0.0000), Bi at (0.5000, 0.5000, 0.5000) and P at (0.0000, 0.5000, 0.5000).

=====

(11)
VASP calculation (GGA-PBE) on a geometry-optimized KBi3P structure.

For the density of states at the Fermi level, the calculation gives 1.07 states/eV/atom. The value obtained for the energy above the most stable polymorph in this dataset is 0.000 eV/atom. The calculation puts the formation energy at 203 meV per atom.

It has space group Pm-3m (No. 221), with a = 5.5875 Å, b = 5.5875 Å, c = 5.5875 Å, α = 90.00°, β = 90.00° and γ = 90.00°. The inequivalent atoms are K at (0.0000, 0.0000, 0.0000), Bi at (0.0000, 0.5000, 0.5000) and P at (0.5000, 0.5000, 0.5000).

=====

(12)
VASP calculation (GGA-PBE) on a geometry-optimized KBi2P2 structure.

For the density of states at the Fermi level, the calculation gives 0.80 states/eV/atom. The value obtained for the energy above the most stable polymorph in this dataset is 0.048 eV/atom. The calculation puts the formation energy at 5 meV per atom.

It has space group I4/mmm (No. 139), with a = 4.6348 Å, b = 4.6348 Å, c = 13.4821 Å, α = 90.00°, β = 90.00° and γ = 90.00°. The inequivalent atoms are K at (0.0000, 0.0000, 0.0000), Bi at (0.0000, 0.5000, 0.2500) and P at (0.0000, 0.0000, 0.4227).

=====

(13)
VASP calculation (GGA-PBE) on a geometry-optimized KBiP2S structure.

For the density of states at the Fermi level, the calculation gives 1.08 states/eV/atom. The value obtained for the energy above the most stable polymorph in this dataset is 0.051 eV/atom. Its raw formation energy is 0.538 eV/atom.

It has space group P4/mmm (No. 123), with a = 4.9474 Å, b = 4.9474 Å, c = 5.3168 Å, α = 90.00°, β = 90.00° and γ = 90.00°. The inequivalent atoms are K at (0.0000, 0.0000, 0.0000), Bi at (0.5000, 0.5000, 0.0000), P at (0.0000, 0.5000, 0.5000) and S at (0.5000, 0.5000, 0.5000).

=====

(14)
VASP calculation (GGA-PBE) on a geometry-optimized K2BiPS4 structure.

For the density of states at the Fermi level, the calculation gives 0.12 states/eV/atom. Its raw formation energy is -0.484 eV/atom.

It has space group I-4 (No. 82), with a = 6.5867 Å, b = 6.5867 Å, c = 12.4160 Å, α = 90.00°, β = 90.00° and γ = 90.00°. The inequivalent atoms are K at (0.0000, 0.0000, 0.0000), K at (0.0000, 0.5000, 0.2500), Bi at (0.0000, 0.0000, 0.5000), P at (0.0000, 0.5000, 0.7500) and S at (0.1554, 0.2777, 0.6441).

=====

(15)
VASP calculation (GGA-PBE) on a geometry-optimized KBiP2S structure.

For the density of states at the Fermi level, the calculation gives 1.37 states/eV/atom. The value obtained for the energy above the most stable polymorph in this dataset is 1.031 eV/atom. Its raw formation energy is 1.518 eV/atom.

It has space group P4/mmm (No. 123), with a = 5.1892 Å, b = 5.1892 Å, c = 5.2528 Å, α = 90.00°, β = 90.00° and γ = 90.00°. The inequivalent atoms are K at (0.0000, 0.0000, 0.0000), Bi at (0.5000, 0.5000, 0.5000), P at (0.0000, 0.5000, 0.0000) and S at (0.0000, 0.0000, 0.5000).

=====

(16)
VASP calculation (GGA-PBE) on a geometry-optimized KBiP2S structure.

For the density of states at the Fermi level, the calculation gives 0.53 states/eV/atom. The value obtained for the energy above the most stable polymorph in this dataset is 0.000 eV/atom. Its raw formation energy is 0.487 eV/atom.

It has space group P4/mmm (No. 123), with a = 5.4281 Å, b = 5.4281 Å, c = 5.4734 Å, α = 90.00°, β = 90.00° and γ = 90.00°. The inequivalent atoms are K at (0.0000, 0.0000, 0.0000), Bi at (0.5000, 0.5000, 0.5000), P at (0.0000, 0.5000, 0.5000) and S at (0.5000, 0.5000, 0.0000).

=====

(17)
VASP calculation (GGA-PBE) on a geometry-optimized KBiP2Se6 structure.

For the density of states at the Fermi level, the calculation gives 0.00 states/eV/atom. The value obtained for the energy above the most stable polymorph in this dataset is 0.003 eV/atom. Its raw formation energy is -0.403 eV/atom.

It has space group P2_1 (No. 4), with a = 7.0634 Å, b = 7.8423 Å, c = 10.5451 Å, α = 90.00°, β = 92.21° and γ = 90.00°. The inequivalent atoms are K at (0.1988, 0.0000, 0.0019), Bi at (0.2929, 0.2449, 0.4852), P at (0.1887, 0.7038, 0.3280), P at (0.2933, 0.4851, 0.2063), Se at (0.0808, 0.2832, 0.2333), Se at (0.0806, 0.2980, 0.7544), Se at (0.1493, 0.5847, 0.5204), Se at (0.3226, 0.5709, 0.0144), Se at (0.4199, 0.8987, 0.3283) and Se at (0.4452, 0.9001, 0.6836).

=====

(18)
VASP calculation (GGA-PBE) on a geometry-optimized KBiP2Se6 structure.

For the density of states at the Fermi level, the calculation gives 0.00 states/eV/atom. The value obtained for the energy above the most stable polymorph in this dataset is 0.000 eV/atom. Its raw formation energy is -0.406 eV/atom.

It has space group P2_1/c (No. 14), with a = 12.5553 Å, b = 7.7320 Å, c = 12.8807 Å, α = 90.00°, β = 109.89° and γ = 90.00°. The inequivalent atoms are K at (0.0959, 0.0950, 0.3779), Bi at (0.3814, 0.6467, 0.6741), P at (0.2665, 0.1209, 0.7068), P at (0.2659, 0.5998, 0.3250), Se at (0.0973, 0.2281, 0.6335), Se at (0.1674, 0.6944, 0.7117), Se at (0.1987, 0.5092, 0.4506), Se at (0.3373, 0.5017, 0.0860), Se at (0.3891, 0.1901, 0.3148) and Se at (0.4451, 0.6941, 0.3873).

=====

(19)
VASP calculation (GGA-PBE) on a geometry-optimized KSi2BiP structure.

For the density of states at the Fermi level, the calculation gives 0.73 states/eV/atom. Its raw formation energy is 1.314 eV/atom.

It has space group P4/mmm (No. 123), with a = 5.4455 Å, b = 5.4455 Å, c = 6.6265 Å, α = 90.00°, β = 90.00° and γ = 90.00°. The inequivalent atoms are K at (0.0000, 0.0000, 0.0000), Si at (0.0000, 0.5000, 0.5000), Bi at (0.0000, 0.0000, 0.5000) and P at (0.5000, 0.5000, 0.0000).

=====

(20)
VASP calculation (GGA-PBE) on a geometry-optimized K2SiBiP structure.

For the density of states at the Fermi level, the calculation gives 1.06 states/eV/atom. Its raw formation energy is 0.282 eV/atom.

It has space group P4/mmm (No. 123), with a = 6.6959 Å, b = 6.6959 Å, c = 4.3977 Å, α = 90.00°, β = 90.00° and γ = 90.00°. The inequivalent atoms are K at (0.0000, 0.5000, 0.0000), Si at (0.0000, 0.0000, 0.0000), Bi at (0.5000, 0.5000, 0.5000) and P at (0.0000, 0.0000, 0.5000).

=====

(21)
VASP calculation (GGA-PBE) on a geometry-optimized KPaBi2 structure.

The value obtained for the energy above the most stable polymorph in this dataset is 0.000 eV/atom. The calculation puts the formation energy at -246 meV per atom.

It has space group R-3m (No. 166, hexagonal axes), with a = 4.6475 Å, b = 4.6475 Å, c = 24.8288 Å, α = 90.00°, β = 90.00° and γ = 120.00°. The inequivalent atoms are K at (0.0000, 0.0000, 0.0000), Pa at (0.0000, 0.0000, 0.5000) and Bi at (0.0000, 0.0000, 0.2327).

=====

(22)
VASP calculation (GGA-PBE) on a geometry-optimized KPaBi2 structure.

For the density of states at the Fermi level, the calculation gives 1.57 states/eV/atom. The value obtained for the energy above the most stable polymorph in this dataset is 0.035 eV/atom. The calculation puts the formation energy at -211 meV per atom.

It has space group P4/mmm (No. 123), with a = 3.6213 Å, b = 3.6213 Å, c = 9.8213 Å, α = 90.00°, β = 90.00° and γ = 90.00°. The inequivalent atoms are K at (0.0000, 0.0000, 0.0000), Pa at (0.0000, 0.0000, 0.5000) and Bi at (0.5000, 0.5000, 0.2744).

=====

(23)
VASP calculation (GGA-PBE) on a geometry-optimized KPaBi2 structure.

The value obtained for the energy above the most stable polymorph in this dataset is 0.015 eV/atom. The calculation puts the formation energy at -231 meV per atom.

It has space group R3m (No. 160, hexagonal axes), with a = 4.6264 Å, b = 4.6264 Å, c = 25.3067 Å, α = 90.00°, β = 90.00° and γ = 120.00°. The inequivalent atoms are K at (0.0000, 0.0000, 0.0000), Pa at (0.0000, 0.0000, 0.1700), Bi at (0.0000, 0.0000, 0.5688) and Bi at (0.0000, 0.0000, 0.7705).

=====

(24)
VASP calculation (GGA-PBE) on a geometry-optimized KPaBi4 structure.

For the density of states at the Fermi level, the calculation gives 0.77 states/eV/atom. The calculation puts the formation energy at -192 meV per atom.

It has space group Cmcm (No. 63), with a = 4.6447 Å, b = 25.4122 Å, c = 6.9886 Å, α = 90.00°, β = 90.00° and γ = 90.00°. The inequivalent atoms are K at (0.0000, 0.2216, 0.2500), Pa at (0.0000, 0.0662, 0.7500), Bi at (0.0000, 0.0712, 0.2500), Bi at (0.0000, 0.3586, 0.0309) and Bi at (0.0000, 0.5000, 0.0000).